Record 1
## Ga2FeSb2 (PBE-GGA)

Data for an optimized crystal structure of Ga2FeSb2. Values from VASP.

Values from the calculation:
Theoretical density   7.192 g cm⁻³
Space group   No. 127
Formation energy from raw total energies   0.34 eV per atom
D(E_F)   4.385 states/eV/f.u.

```
&SYSTEM
  ibrav = 0, nat = 10, ntyp = 3
/
ATOMIC_SPECIES
Sb 121.76 Sb.upf
Fe 55.84 Fe.upf
Ga 69.72 Ga.upf
ATOMIC_POSITIONS crystal
Sb 0.3432 0.8432 0.0000
Sb 0.8432 0.6568 0.0000
Sb 0.6568 0.1568 0.0000
Sb 0.1568 0.3432 0.0000
Fe 0.0000 0.0000 0.0000
Fe 0.5000 0.5000 0.0000
Ga 0.1645 0.6645 0.5000
Ga 0.6645 0.8355 0.5000
Ga 0.8355 0.3355 0.5000
Ga 0.3355 0.1645 0.5000
CELL_PARAMETERS angstrom
-2.1600 0.1731 -6.1641
-6.0845 -1.1216 2.1006
-0.7282 4.6742 0.3864
```



Record 2
## Ce3Ge6Au5 (PBE-GGA)

Data for an optimized crystal structure of Ce3Ge6Au5. Values from VASP.

Values from the calculation:
ΔH_f (0 K)   -0.4800 eV per atom
Theoretical density   10.514 g cm⁻³
Space group   No. 59
D(E_F)   20.175 states/eV/f.u.

```
&SYSTEM
  ibrav = 0, nat = 28, ntyp = 3
/
ATOMIC_SPECIES
Ce 140.12 Ce.upf
Ge 72.64 Ge.upf
Au 196.97 Au.upf
ATOMIC_POSITIONS crystal
Ce 0.0000 0.2565 0.6922
Ce 0.5000 0.7435 0.1922
Ce 0.5000 0.7435 0.8078
Ce 0.0000 0.2482 0.0000
Ce 0.5000 0.7518 0.5000
Ce 0.0000 0.2565 0.3078
Ge 0.0000 0.9704 0.8494
Ge 0.5000 0.0296 0.6506
Ge 0.5000 0.3761 0.8403
Ge 0.5000 0.5488 0.0000
Ge 0.0000 0.4512 0.5000
Ge 0.0000 0.6239 0.6597
Ge 0.0000 0.6239 0.3403
Ge 0.5000 0.9288 0.0000
Ge 0.0000 0.9704 0.1506
Ge 0.5000 0.3761 0.1597
Ge 0.0000 0.0712 0.5000
Ge 0.5000 0.0296 0.3494
Au 0.0000 0.5203 0.8562
Au 0.0000 0.8942 0.6519
Au 0.0000 0.7654 0.0000
Au 0.5000 0.4797 0.6438
Au 0.5000 0.2346 0.5000
Au 0.0000 0.5203 0.1438
Au 0.5000 0.4797 0.3562
Au 0.0000 0.8942 0.3481
Au 0.5000 0.1058 0.8481
Au 0.5000 0.1058 0.1519
CELL_PARAMETERS angstrom
4.6582 0.0000 0.0000
0.0000 9.4405 0.0000
0.0000 0.0000 13.2237
```



Record 3
## Ba5Y8Zn4O21 (PBE-GGA)

Data for an optimized crystal structure of Ba5Y8Zn4O21. Values from VASP.

Values from the calculation:
Theoretical density   5.923 g cm⁻³
Space group   No. 87
Formation energy from raw total energies   -2.84 eV per atom
D(E_F)   0.000 states/eV/f.u.

```
&SYSTEM
  ibrav = 0, nat = 38, ntyp = 4
/
ATOMIC_SPECIES
Ba 137.33 Ba.upf
Y 88.91 Y.upf
Zn 65.41 Zn.upf
O 16.00 O.upf
ATOMIC_POSITIONS crystal
Ba 0.1391 0.4653 0.6044
Ba 0.8609 0.5347 0.3956
Ba 0.5347 0.1391 0.6737
Ba 0.4653 0.8609 0.3263
Ba 0.0000 0.0000 0.0000
Y 0.4113 0.3578 0.7691
Y 0.5887 0.6422 0.2309
Y 0.6422 0.4113 0.0535
Y 0.3578 0.5887 0.9465
Y 0.2475 0.1677 0.4152
Y 0.7525 0.8323 0.5848
Y 0.8323 0.2475 0.0798
Y 0.1677 0.7525 0.9202
Zn 0.0407 0.2512 0.2920
Zn 0.9593 0.7488 0.7080
Zn 0.7488 0.0407 0.7895
Zn 0.2512 0.9593 0.2105
O 0.4277 0.2972 0.2257
O 0.5723 0.7028 0.7743
O 0.0715 0.2020 0.7743
O 0.2020 0.4277 0.1305
O 0.9285 0.7980 0.2257
O 0.7980 0.5723 0.8695
O 0.2972 0.0715 0.8695
O 0.7028 0.9285 0.1305
O 0.3957 0.5053 0.4057
O 0.6043 0.4947 0.5943
O 0.0996 0.9900 0.5943
O 0.9900 0.3957 0.8904
O 0.9004 0.0100 0.4057
O 0.0100 0.6043 0.1096
O 0.5053 0.0996 0.1096
O 0.4947 0.9004 0.8904
O 0.5000 0.5000 0.0000
O 0.3723 0.0370 0.4093
O 0.6277 0.9630 0.5907
O 0.9630 0.3723 0.3353
O 0.0370 0.6277 0.6647
CELL_PARAMETERS angstrom
-6.6723 1.9420 -7.5526
6.8628 -6.4905 4.0134
-7.2447 -2.0705 6.9686
```



Record 4
## Pu2MnN4 (PBE-GGA)

Data for an optimized crystal structure of Pu2MnN4. Values from VASP.

Values from the calculation:
Theoretical density   10.725 g cm⁻³
Space group   No. 11
Formation energy from raw total energies   -0.78 eV per atom
D(E_F)   10.324 states/eV/f.u.

```
&SYSTEM
  ibrav = 0, nat = 14, ntyp = 3
/
ATOMIC_SPECIES
Pu 244.00 Pu.upf
Mn 54.94 Mn.upf
N 14.01 N.upf
ATOMIC_POSITIONS crystal
Pu 0.7100 0.7500 0.0502
Pu 0.2900 0.2500 0.9498
Pu 0.2114 0.2500 0.4276
Pu 0.7886 0.7500 0.5724
Mn 0.2592 0.7500 0.1988
Mn 0.7408 0.2500 0.8012
N 0.4774 0.5008 0.2539
N 0.0719 0.7500 0.9264
N 0.9281 0.2500 0.0736
N 0.4774 0.9992 0.2539
N 0.9441 0.2500 0.6390
N 0.5226 0.0008 0.7461
N 0.5226 0.4992 0.7461
N 0.0559 0.7500 0.3610
CELL_PARAMETERS angstrom
-2.8307 1.3330 -4.6262
0.3083 -5.0400 -1.6409
-4.2760 -1.8004 4.7263
```